Computed, not measured: CePmPtAu after structural relaxation at the PBE level of DFT.

```
CePmPtAu
1.0
4.5184 0.0000 0.0000
0.0000 1.9372 5.6710
0.0000 -1.9372 5.6710
Ce Pm Pt Au
1 1 1 1
direct
0.0000 0.0000 0.0000
0.5000 0.2759 0.2759
0.5000 0.5380 0.5380
0.0000 0.7196 0.7196
```

Calculated values
- DFT total energy: -5.9411 eV/atom
- ΔE_f: -0.940 eV/atom